Computed, not measured: a relaxed Na4Sr2SiAs4 crystal at the PBE level of DFT.

The structure in CIF format:
```
data_Na4Sr2SiAs4
_symmetry_space_group_name_H-M 'P 1'
_symmetry_Int_Tables_number 1
_symmetry_space_group_name_Hall 'P 1'
_cell_length_a 9.6008
_cell_length_b 9.6008
_cell_length_c 7.4889
_cell_angle_alpha 89.44
_cell_angle_beta 89.44
_cell_angle_gamma 119.92
loop_
_atom_site_label
_atom_site_type_symbol
_atom_site_fract_x
_atom_site_fract_y
_atom_site_fract_z
_atom_site_occupancy
Na1 Na 0.1547 0.8588 0.2937 1
Na2 Na 0.1365 0.2812 0.3213 1
Na3 Na 0.8588 0.1547 0.7937 1
Na4 Na 0.5269 0.0559 0.1162 1
Na5 Na 0.8652 0.7090 0.7806 1
Na6 Na 0.7090 0.8652 0.2806 1
Na7 Na 0.2812 0.1365 0.8213 1
Na8 Na 0.0559 0.5269 0.6162 1
Si1 Si 0.3376 0.6713 0.0036 1
Si2 Si 0.6713 0.3376 0.5036 1
Sr1 Sr 0.4704 0.5198 0.6224 1
Sr2 Sr 0.5198 0.4704 0.1224 1
Sr3 Sr 0.4721 0.9509 0.6195 1
Sr4 Sr 0.9509 0.4721 0.1195 1
As1 As 0.8045 0.6141 0.3958 1
As2 As 0.1932 0.3879 0.9140 1
As3 As 0.6617 0.3361 0.8289 1
As4 As 0.3361 0.6617 0.3289 1
As5 As 0.6141 0.8045 0.8958 1
As6 As 0.1920 0.8000 0.9051 1
As7 As 0.3879 0.1932 0.4140 1
As8 As 0.8000 0.1920 0.4051 1
```

Summary:
Magnetic moment in μB/f.u.: 0.0
Energy relative to the elements, uncorrected in kJ/mol of atoms: -65.79
Symmetry: No. 9

***

Computed, not measured: a relaxed LuHfSb crystal at the PBE level of DFT.

The structure in CIF format:
```
data_LuHfSb
_symmetry_space_group_name_H-M 'P 1'
_symmetry_Int_Tables_number 1
_symmetry_space_group_name_Hall 'P 1'
_cell_length_a 3.5001
_cell_length_b 4.9711
_cell_length_c 4.9711
_cell_angle_alpha 120.00
_cell_angle_beta 90.00
_cell_angle_gamma 90.00
loop_
_atom_site_label
_atom_site_type_symbol
_atom_site_fract_x
_atom_site_fract_y
_atom_site_fract_z
_atom_site_occupancy
Sb1 Sb 0.2524 0.3333 0.6667 1
Lu1 Lu 0.6353 0.6667 0.3333 1
Hf1 Hf 0.1122 0.0000 0.0000 1
```

Summary:
Magnetic moment in μB/f.u.: 0.0
Energy relative to the elements, uncorrected in kJ/mol of atoms: -13.61
Symmetry: No. 156

***

Computed, not measured: a relaxed Cs3Ho3MoS8 crystal at the PBE level of DFT.

The structure in CIF format:
```
data_Cs3Ho3MoS8
_symmetry_space_group_name_H-M 'P 1'
_symmetry_Int_Tables_number 1
_symmetry_space_group_name_Hall 'P 1'
_cell_length_a 7.8767
_cell_length_b 7.8768
_cell_length_c 9.3859
_cell_angle_alpha 114.82
_cell_angle_beta 89.99
_cell_angle_gamma 120.01
loop_
_atom_site_label
_atom_site_type_symbol
_atom_site_fract_x
_atom_site_fract_y
_atom_site_fract_z
_atom_site_occupancy
S1 S 0.2115 0.4229 0.6714 1
S2 S 0.7886 0.0399 0.3286 1
S3 S 0.7272 0.4544 0.6815 1
S4 S 0.7885 0.5771 0.3286 1
S5 S 0.2513 0.0399 0.3286 1
S6 S 0.7487 0.9601 0.6714 1
S7 S 0.2114 0.9601 0.6714 1
S8 S 0.2728 0.5456 0.3185 1
Mo1 Mo 0.0000 0.0000 0.5000 1
Ho1 Ho 0.5000 0.0000 0.5000 1
Ho2 Ho 0.0000 0.5000 0.5000 1
Ho3 Ho 0.5000 0.5000 0.5000 1
Cs1 Cs 0.0000 0.0000 0.0000 1
Cs2 Cs 0.0000 0.5000 0.0000 1
Cs3 Cs 0.5000 0.5000 0.0000 1
```

Summary:
Magnetic moment in μB/f.u.: 2.0
Energy relative to the elements, uncorrected in kJ/mol of atoms: -146.94
Symmetry: No. 166

***

Computed, not measured: a relaxed KRbPuCl6 crystal at the PBE level of DFT.

The structure in CIF format:
```
data_KRbPuCl6
_symmetry_space_group_name_H-M 'P 1'
_symmetry_Int_Tables_number 1
_symmetry_space_group_name_Hall 'P 1'
_cell_length_a 7.7438
_cell_length_b 7.7438
_cell_length_c 13.2057
_cell_angle_alpha 90.00
_cell_angle_beta 90.00
_cell_angle_gamma 120.00
loop_
_atom_site_label
_atom_site_type_symbol
_atom_site_fract_x
_atom_site_fract_y
_atom_site_fract_z
_atom_site_occupancy
Cl1 Cl 0.3382 0.9454 0.6370 1
Cl2 Cl 0.6072 0.6618 0.6370 1
Cl3 Cl 0.9454 0.3382 0.1370 1
Cl4 Cl 0.9454 0.6072 0.3630 1
Cl5 Cl 0.6617 0.0546 0.3630 1
Cl6 Cl 0.0546 0.3928 0.6370 1
Cl7 Cl 0.3382 0.3928 0.8630 1
Cl8 Cl 0.3928 0.0546 0.1370 1
Cl9 Cl 0.6072 0.9454 0.8630 1
Cl10 Cl 0.6617 0.6072 0.1370 1
Cl11 Cl 0.3928 0.3382 0.3630 1
Cl12 Cl 0.0546 0.6618 0.8630 1
K1 K 0.6667 0.3333 0.7500 1
K2 K 0.3333 0.6667 0.2500 1
Rb1 Rb 0.0000 0.0000 0.5000 1
Rb2 Rb 0.0000 0.0000 0.0000 1
Pu1 Pu 0.6667 0.3333 0.2500 1
Pu2 Pu 0.3333 0.6667 0.7500 1
```

Summary:
Magnetic moment in μB/f.u.: 4.0
Energy relative to the elements, uncorrected in kJ/mol of atoms: -179.63
Symmetry: No. 163

***

Computed, not measured: a relaxed Hf2UAl crystal at the PBE level of DFT.

The structure in CIF format:
```
data_Hf2UAl
_symmetry_space_group_name_H-M 'P 1'
_symmetry_Int_Tables_number 1
_symmetry_space_group_name_Hall 'P 1'
_cell_length_a 4.8982
_cell_length_b 4.8982
_cell_length_c 4.8982
_cell_angle_alpha 60.00
_cell_angle_beta 60.00
_cell_angle_gamma 60.00
loop_
_atom_site_label
_atom_site_type_symbol
_atom_site_fract_x
_atom_site_fract_y
_atom_site_fract_z
_atom_site_occupancy
Al1 Al 0.0000 0.0000 0.0000 1
Hf1 Hf 0.2500 0.2500 0.2500 1
Hf2 Hf 0.7500 0.7500 0.7500 1
U1 U 0.5000 0.5000 0.5000 1
```

Summary:
Offset from the most stable computed form in meV/atom: 183
Magnetic moment in μB/f.u.: 2.8
Symmetry: No. 225
ΔH_f (0 K) in kJ/mol of atoms: 14.3

***

Computed, not measured: a relaxed TbSi4Pd6 crystal at the PBE level of DFT.

The structure in CIF format:
```
data_TbSi4Pd6
_symmetry_space_group_name_H-M 'P 1'
_symmetry_Int_Tables_number 1
_symmetry_space_group_name_Hall 'P 1'
_cell_length_a 3.8875
_cell_length_b 7.1493
_cell_length_c 7.1493
_cell_angle_alpha 120.00
_cell_angle_beta 90.00
_cell_angle_gamma 90.00
loop_
_atom_site_label
_atom_site_type_symbol
_atom_site_fract_x
_atom_site_fract_y
_atom_site_fract_z
_atom_site_occupancy
Pd1 Pd 0.0000 0.5343 0.0685 1
Pd2 Pd 0.5000 0.1980 0.8020 1
Pd3 Pd 0.5000 0.6039 0.8020 1
Pd4 Pd 0.0000 0.9315 0.4657 1
Pd5 Pd 0.0000 0.5343 0.4657 1
Pd6 Pd 0.5000 0.1980 0.3961 1
Si1 Si 0.5000 0.8071 0.6143 1
Si2 Si 0.5000 0.8071 0.1929 1
Si3 Si 0.0000 0.3333 0.6667 1
Si4 Si 0.5000 0.3857 0.1929 1
Tb1 Tb 0.0000 0.0000 0.0000 1
```

Summary:
Offset from the most stable computed form in meV/atom: 0
Magnetic moment in μB/f.u.: 0.0
Energy relative to the elements, uncorrected in kJ/mol of atoms: -76.74
Symmetry: No. 187

***

Copy entry 4 word for word.
Computed, not measured: a relaxed KRbPuCl6 crystal at the PBE level of DFT.

The structure in CIF format:
```
data_KRbPuCl6
_symmetry_space_group_name_H-M 'P 1'
_symmetry_Int_Tables_number 1
_symmetry_space_group_name_Hall 'P 1'
_cell_length_a 7.7438
_cell_length_b 7.7438
_cell_length_c 13.2057
_cell_angle_alpha 90.00
_cell_angle_beta 90.00
_cell_angle_gamma 120.00
loop_
_atom_site_label
_atom_site_type_symbol
_atom_site_fract_x
_atom_site_fract_y
_atom_site_fract_z
_atom_site_occupancy
Cl1 Cl 0.3382 0.9454 0.6370 1
Cl2 Cl 0.6072 0.6618 0.6370 1
Cl3 Cl 0.9454 0.3382 0.1370 1
Cl4 Cl 0.9454 0.6072 0.3630 1
Cl5 Cl 0.6617 0.0546 0.3630 1
Cl6 Cl 0.0546 0.3928 0.6370 1
Cl7 Cl 0.3382 0.3928 0.8630 1
Cl8 Cl 0.3928 0.0546 0.1370 1
Cl9 Cl 0.6072 0.9454 0.8630 1
Cl10 Cl 0.6617 0.6072 0.1370 1
Cl11 Cl 0.3928 0.3382 0.3630 1
Cl12 Cl 0.0546 0.6618 0.8630 1
K1 K 0.6667 0.3333 0.7500 1
K2 K 0.3333 0.6667 0.2500 1
Rb1 Rb 0.0000 0.0000 0.5000 1
Rb2 Rb 0.0000 0.0000 0.0000 1
Pu1 Pu 0.6667 0.3333 0.2500 1
Pu2 Pu 0.3333 0.6667 0.7500 1
```

Summary:
Magnetic moment in μB/f.u.: 4.0
Energy relative to the elements, uncorrected in kJ/mol of atoms: -179.63
Symmetry: No. 163

***

Q: Which value of magnetic moment does entry 3 give?
A: 2.0 μB/f.u.